Entry from the Alexandria database: a PBEsol-optimized structure of Ti3HgOs (meta-GGA SCAN).

abc: 4.7564 4.7564 4.7564
angles: 90.00 90.00 90.00
With the nearest neighbours (Å) after each atom.
Space group Pm-3m (No. 221)
Inequivalent atoms, fractional coordinates:
1 Ti 0.0000 0.0000 0.5000 x3  2 Hg 2.38
2 Hg 0.0000 0.0000 0.0000 x1  6 Ti 2.38
3 Os 0.5000 0.5000 0.5000 x1  12 Ti 3.36

Summary:
Energy relative to the elements: 1.575 eV/atom
V: 21.52 Å³/atom
Crystal system: cubic
VASP energy: -36.052 eV/atom